Record 1
Computed, not measured: crystalline NaBPb2Se4 at its relaxed geometry at the PBE level of DFT.

It has space group C2/c (No. 15), with a = 13.9314 Å, b = 10.7066 Å, c = 8.9156 Å, α = 90.00°, β = 127.00° and γ = 90.00°. Symmetry generates all atoms from Na at (0.2500, 0.2500, 0.0000), B at (0.0000, 0.0000, 0.0000), Pb at (0.0000, 0.5000, 0.0000), Pb at (0.2500, 0.2500, 0.5000), Se at (0.0065, 0.1697, 0.0271) and Se at (0.1800, 0.4959, 0.9179).

The magnetic moment is 0.0 μB per formula unit. The calculation puts the formation energy from raw total energies at -21 kJ/mol of atoms.


Record 2
Computed, not measured: crystalline Tb4TlInAg2 at its relaxed geometry at the PBE level of DFT.

It has space group R-3m (No. 166, hexagonal axes), with a = 5.2795 Å, b = 5.2795 Å, c = 25.8800 Å, α = 90.00°, β = 90.00° and γ = 120.00°. Symmetry generates all atoms from Tb at (0.0000, 0.0000, 0.1250), Tb at (0.0000, 0.0000, 0.3752), Tl at (0.0000, 0.0000, 0.0000), In at (0.0000, 0.0000, 0.5000) and Ag at (0.0000, 0.0000, 0.2476).

The magnetic moment is 0.0 μB per formula unit. The energy of formation from the pure elements comes out at -369 meV per atom. The calculation puts the density of states at the Fermi level at 5.97 states/eV/f.u.


Record 3
Computed, not measured: crystalline Ni2AgIr at its relaxed geometry at the PBE level of DFT.

It has space group C2/m (No. 12), with a = 8.5683 Å, b = 2.6855 Å, c = 4.8853 Å, α = 90.00°, β = 99.35° and γ = 90.00°. Symmetry generates all atoms from Ni at (0.2437, 0.0000, 0.2188), Ag at (0.0000, 0.0000, 0.5000) and Ir at (0.0000, 0.5000, 0.0000).

The magnetic moment is 1.6 μB per formula unit. The energy of formation from the pure elements comes out at 289 meV per atom. For the distance to the lowest polymorph of the same formula, the calculation gives 154 meV/atom. The calculation puts the density of states at the Fermi level at 6.34 states/eV/f.u.


Record 4
Computed, not measured: crystalline Mg2VPd6 at its relaxed geometry at the PBE level of DFT.

It has space group C2/m (No. 12), with a = 13.2516 Å, b = 5.9986 Å, c = 4.1656 Å, α = 90.00°, β = 108.05° and γ = 90.00°. Symmetry generates all atoms from Mg at (0.1686, 0.0000, 0.1653), V at (0.0000, 0.5000, 0.5000), Pd at (0.0000, 0.2573, 0.0000) and Pd at (0.1604, 0.2568, 0.6578).

The magnetic moment is 0.0 μB per formula unit. The energy of formation from the pure elements comes out at -161 meV per atom. The calculation puts the density of states at the Fermi level at 4.22 states/eV/f.u.


Record 5
Computed, not measured: crystalline Rb2CuPt2 at its relaxed geometry at the PBE level of DFT.

It has space group P4/mbm (No. 127), with a = 6.6332 Å, b = 6.6332 Å, c = 5.5816 Å, α = 90.00°, β = 90.00° and γ = 90.00°. Symmetry generates all atoms from Rb at (0.1784, 0.3216, 0.0000), Cu at (0.0000, 0.0000, 0.5000) and Pt at (0.1385, 0.6385, 0.5000).

The magnetic moment is 0.0 μB per formula unit. The energy of formation from the pure elements comes out at 150 meV per atom. For the distance to the lowest polymorph of the same formula, the calculation gives 271 meV/atom. The calculation puts the density of states at the Fermi level at 2.98 states/eV/f.u.


Record 6
Computed, not measured: crystalline ZrSc2Be at its relaxed geometry at the PBE level of DFT.

It has space group P4mm (No. 99), with a = 3.1984 Å, b = 3.1984 Å, c = 7.8848 Å, α = 90.00°, β = 90.00° and γ = 90.00°. Symmetry generates all atoms from Zr at (0.0000, 0.0000, 0.0000), Sc at (0.0000, 0.0000, 0.4011), Sc at (0.5000, 0.5000, 0.7168) and Be at (0.5000, 0.5000, 0.2040).

The magnetic moment is 0.0 μB per formula unit. The energy of formation from the pure elements comes out at 8 meV per atom. The calculation puts the density of states at the Fermi level at 6.05 states/eV/f.u.


Record 7
Computed, not measured: crystalline CeDyNiRh at its relaxed geometry at the PBE level of DFT.

It has space group F-43m (No. 216), with a = 6.8824 Å, b = 6.8824 Å, c = 6.8824 Å, α = 90.00°, β = 90.00° and γ = 90.00°. Symmetry generates all atoms from Ce at (0.0000, 0.0000, 0.0000), Dy at (0.0000, 0.0000, 0.5000), Ni at (0.2500, 0.2500, 0.7500) and Rh at (0.2500, 0.2500, 0.2500).

The magnetic moment is 0.5 μB per formula unit. The energy of formation from the pure elements comes out at -517 meV per atom. For the distance to the lowest polymorph of the same formula, the calculation gives 90 meV/atom. The calculation puts the density of states at the Fermi level at 7.53 states/eV/f.u.


Record 8
Computed, not measured: crystalline Rb8Au2O at its relaxed geometry at the PBE level of DFT.

It has space group C2/m (No. 12), with a = 26.3974 Å, b = 4.5373 Å, c = 10.1610 Å, α = 90.00°, β = 91.29° and γ = 90.00°. Symmetry generates all atoms from Rb at (0.0063, 0.0000, 0.1786), Rb at (0.1030, 0.5000, 0.9927), Rb at (0.1119, 0.5000, 0.4943), Rb at (0.2469, 0.5000, 0.2402), Au at (0.1429, 0.0000, 0.2430) and O at (0.0000, 0.5000, 0.0000).

The magnetic moment is 0.0 μB per formula unit. For the distance to the lowest polymorph of the same formula, the calculation gives 5 meV/atom. The calculation puts the formation energy from raw total energies at -36 kJ/mol of atoms. The calculation puts the density of states at the Fermi level at 5.64 states/eV/f.u.